*a*
Here is a geometry-optimized LaZnP3 structure from the Alexandria database. Energies are from PBE.

Output
- space group = Pm-3m
- size of the total moment (μB per atom) = 0.000

a = 4.701 Å, b = 4.701 Å, c = 4.701 Å
α = 90.00°, β = 90.00°, γ = 90.00°
Fractional coordinates of all 5 atoms:
P  0.000  0.000  0.500
La  0.500  0.500  0.500
Zn  0.000  0.000  0.000
P  0.000  0.500  0.000
P  0.500  0.000  0.000

=====

*b*
Here is a geometry-optimized LaZnP3 structure from the Alexandria database. Energies are from PBE.

Output
- space group = Pm-3m
- size of the total moment (μB per atom) = 0.000

a = 5.481 Å, b = 5.481 Å, c = 5.481 Å
α = 90.00°, β = 90.00°, γ = 90.00°
Fractional coordinates of all 5 atoms:
P  0.500  0.000  0.000
P  0.000  0.500  0.000
La  0.000  0.000  0.000
Zn  0.500  0.500  0.500
P  0.000  0.000  0.500

=====

Stability comparison, relative energies in meV per atom: *a* 0; *b* 1098

=====

*a*
Here is a geometry-optimized La3ZrP structure from the Alexandria database. Energies are from PBE.

Output
- space group = Pm-3m
- size of the total moment (μB per atom) = 0.000

a = 5.536 Å, b = 5.536 Å, c = 5.536 Å
α = 90.00°, β = 90.00°, γ = 90.00°
Fractional coordinates of all 5 atoms:
La  0.000  0.500  0.000
P  0.500  0.500  0.500
La  0.500  0.000  0.000
La  0.000  0.000  0.500
Zr  0.000  0.000  0.000

=====

*b*
Here is a geometry-optimized La3ZrP structure from the Alexandria database. Energies are from PBE.

Output
- space group = Pm-3m
- size of the total moment (μB per atom) = 0.271

a = 5.608 Å, b = 5.608 Å, c = 5.608 Å
α = 90.00°, β = 90.00°, γ = 90.00°
Site moments in Bohr magnetons follow the coordinates.
Fractional coordinates of all 5 atoms:
Zr  0.500  0.500  0.500  0.64
P  0.000  0.000  0.000  0.00
La  0.000  0.000  0.500  0.03
La  0.000  0.500  0.000  0.03
La  0.500  0.000  0.000  0.04

=====

Stability comparison, relative energies in meV per atom: *a* 594; *b* 0